Li2YTl: optimized geometry, PBE-GGA.

Unit cell a=10.0772 b=10.0772 c=10.0772 alpha=19.62 beta=19.62 gamma=19.62
Atoms (fractional coordinates):
Li 0.2413 0.2413 0.2413
Li 0.7587 0.7587 0.7587
Y 0.0000 0.0000 0.0000
Tl 0.5000 0.5000 0.5000

Output
Offset from the most stable computed form: 275 meV per atom
Fermi-level density of states: 2.60 states/eV/cell
Crystal system: trigonal
Space group: R-3m (166)
M_tot: 0.00 μB/atom